(1)
Below is a relaxed structure of PaCuAu, with properties calculated at the PBE-GGA level.

Lattice parameters (Å, degrees): 6.6282 6.6282 6.6282 90.00 90.00 90.00
Space group F-43m (No. 216)
Unique sites:
Pa: 0.0000 0.0000 0.0000 (multiplicity 4)
Cu: 0.2500 0.2500 0.2500 (multiplicity 4)
Au: 0.2500 0.2500 0.7500 (multiplicity 4)

Output
V = 24.267 Å³/atom
E above lowest polymorph = 292 meV per atom
Energy of formation = 35.0 kJ per mole of atoms

(2)
Below is a relaxed structure of SmTlZnS3, with properties calculated at the PBE-GGA level.

Lattice parameters (Å, degrees): 4.0325 14.2514 10.7850 90.00 90.00 90.00
Space group Cmcm (No. 63)
Unique sites:
Sm: 0.0000 0.0000 0.0000 (multiplicity 4)
Tl: 0.0000 0.2526 0.2500 (multiplicity 4)
Zn: 0.0000 0.4620 0.7500 (multiplicity 4)
S: 0.0000 0.0604 0.7500 (multiplicity 4)
S: 0.0000 0.3739 0.5687 (multiplicity 8)

Output
V = 25.825 Å³/atom
E above lowest polymorph = 1 meV per atom

(3)
Below is a relaxed structure of DyAgBiSb, with properties calculated at the PBE-GGA level.

Lattice parameters (Å, degrees): 4.3963 4.3963 10.4280 90.00 90.00 90.00
Space group P4/nmm (No. 129, origin choice 2)
Unique sites:
Dy: 0.2500 0.2500 0.2339 (multiplicity 2)
Ag: 0.2500 0.7500 0.5000 (multiplicity 2)
Bi: 0.2500 0.2500 0.6930 (multiplicity 2)
Sb: 0.2500 0.7500 0.0000 (multiplicity 2)

Output
V = 25.193 Å³/atom
E above lowest polymorph = 34 meV per atom

(4)
Below is a relaxed structure of ZrZnAgAu, with properties calculated at the PBE-GGA level.

Lattice parameters (Å, degrees): 6.6077 6.6077 6.6077 90.00 90.00 90.00
Space group F-43m (No. 216)
Unique sites:
Zr: 0.0000 0.0000 0.0000 (multiplicity 4)
Zn: 0.2500 0.2500 0.7500 (multiplicity 4)
Ag: 0.0000 0.0000 0.5000 (multiplicity 4)
Au: 0.2500 0.2500 0.2500 (multiplicity 4)

Output
V = 18.032 Å³/atom
E above lowest polymorph = 0 meV per atom
Energy of formation = -29.3 kJ per mole of atoms

| no. | theoretical density (g/cm³) |
| --- | --- |
| 1 | 11.21 |
| 2 | 5.53 |
| 3 | 9.91 |
| 4 | 10.62 |